Record 1
A plane-wave DFT calculation with PBE-GGA was carried out for a geometry-optimized LaVTc2 structure.

ΔE to the lowest computed polymorph (eV/f.u.): 1.36
M_tot (μB per formula unit): 0.0
Symmetry: I4_1/amd
ΔE_f (meV/atom): 626

a b c (Å): 8.8519 8.8519 8.8519
angles (deg): 148.20 148.20 45.58
Last column: nearest neighbours and their distance in Å.
Sites, in units of the cell vectors:
La1 0.3750 0.6250 0.7500  8 Tc 3.39, 4 V 3.43
La2 0.6250 0.3750 0.2500  8 Tc 3.39, 4 V 3.43
V1 0.1250 0.8750 0.2500  4 Tc 2.37
V2 0.8750 0.1250 0.7500  4 Tc 2.37
Tc1 0.0000 0.0000 0.0000  2 V 2.37, 2 Tc 2.42
Tc2 0.0000 0.0000 0.5000  2 V 2.37, 2 Tc 2.42
Tc3 0.0000 0.5000 0.0000  2 V 2.37, 2 Tc 2.42
Tc4 0.5000 0.0000 0.5000  2 V 2.37, 2 Tc 2.42

***

Record 2
A plane-wave DFT calculation with PBE-GGA was carried out for a geometry-optimized Y4TaCl structure.

M_tot (μB per formula unit): 0.0
Symmetry: F-43m
E_form (uncorrected) (eV/atom): 0.7564

a b c (Å): 6.2710 6.2710 6.2710
angles (deg): 60.00 60.00 60.00
Last column: nearest neighbours and their distance in Å.
Sites, in units of the cell vectors:
Y1 0.3780 0.3780 0.3780  6 Y 3.06-3.21
Y2 0.3780 0.3780 0.8661  6 Y 3.06-3.21
Y3 0.3780 0.8661 0.3780  6 Y 3.06-3.21
Y4 0.8661 0.3780 0.3780  6 Y 3.06-3.21
Ta1 0.7500 0.7500 0.7500  12 Y 3.67, 4 Cl 3.84
Cl1 0.0000 0.0000 0.0000  12 Y 3.68, 4 Ta 3.84

***

Record 3
A plane-wave DFT calculation with PBE-GGA was carried out for a geometry-optimized DyZrAsP structure.

M_tot (μB per formula unit): 0.0
Symmetry: R3m
ΔE_f (meV/atom): -1322

a b c (Å): 7.0994 7.0994 7.0994
angles (deg): 31.48 31.48 31.48
Last column: nearest neighbours and their distance in Å.
Sites, in units of the cell vectors:
Dy1 0.0000 0.0000 0.0000  3 P 2.78, 3 As 2.95
Zr1 0.1802 0.1802 0.1802  3 P 2.64, 3 As 2.80
As1 0.7625 0.7625 0.7625  3 Zr 2.80, 3 Dy 2.95
P1 0.5838 0.5838 0.5838  3 Zr 2.64, 3 Dy 2.78

***

Record 4
A plane-wave DFT calculation with PBE-GGA was carried out for a geometry-optimized RbSc3Ge structure.

ΔE to the lowest computed polymorph (eV/f.u.): 6.21
M_tot (μB per formula unit): 0.0
Symmetry: Pm-3m
ΔE_f (meV/atom): 1523

a b c (Å): 5.0195 5.0195 5.0195
angles (deg): 90.00 90.00 90.00
Last column: nearest neighbours and their distance in Å.
Sites, in units of the cell vectors:
Rb1 0.0000 0.0000 0.0000  6 Sc 2.51
Sc1 0.0000 0.0000 0.5000  2 Rb 2.51
Sc2 0.0000 0.5000 0.0000  2 Rb 2.51
Sc3 0.5000 0.0000 0.0000  2 Rb 2.51
Ge1 0.5000 0.5000 0.5000  12 Sc 3.55